LaSbO4 | GGA-PBEsol | optimized geometry

Summary:
crystal system	monoclinic
total magnetization	0.000	μB per atom
energy relative to the elements, uncorrected	-2.40	eV/atom

a = 5.3836 Å, b = 5.0872 Å, c = 13.5950 Å
α = 90.00°, β = 109.23°, γ = 90.00°
Last column: nearest neighbours and their distance in Å.
Atoms (fractional coordinates):
La: 0.1547 0.1971 0.1642  6 O 2.37-2.53
La: 0.1547 0.3029 0.6642  6 O 2.37-2.53
La: 0.8453 0.6971 0.3358  6 O 2.37-2.53
La: 0.8453 0.8029 0.8358  6 O 2.37-2.53
Sb: 0.4177 0.2485 0.4301  6 O 1.94-2.06
Sb: 0.4177 0.2515 0.9301  6 O 1.94-2.06
Sb: 0.5823 0.7485 0.0699  6 O 1.94-2.06
Sb: 0.5823 0.7515 0.5699  6 O 1.94-2.06
O: 0.0834 0.1228 0.3316  1 Sb 1.96
O: 0.0834 0.3772 0.8316  1 Sb 1.96
O: 0.2526 0.5643 0.4733  2 Sb 2.01-2.06
O: 0.2526 0.9357 0.9733  2 Sb 2.01-2.06
O: 0.3609 0.0725 0.5561  2 Sb 1.99-2.04
O: 0.3609 0.4275 0.0561  2 Sb 1.99-2.04
O: 0.4922 0.1006 0.8114  1 Sb 1.94
O: 0.4922 0.3994 0.3114  1 Sb 1.94
O: 0.5078 0.6006 0.6886  1 Sb 1.94
O: 0.5078 0.8994 0.1886  1 Sb 1.94
O: 0.6391 0.5725 0.9439  2 Sb 1.99-2.04
O: 0.6391 0.9275 0.4439  2 Sb 1.99-2.04
O: 0.7474 0.0643 0.0267  2 Sb 2.01-2.06
O: 0.7474 0.4357 0.5267  2 Sb 2.01-2.06
O: 0.9166 0.6228 0.1684  1 Sb 1.96
O: 0.9166 0.8772 0.6684  1 Sb 1.96